(1)
A plane-wave DFT calculation with GGA-PBE was carried out for an optimized crystal structure of InFe2Rh2.

The structure in POSCAR format:
```
InFe2Rh2
1.0
7.246 0.000 0.000
0.000 7.246 0.000
0.000 0.000 2.889
In Fe Rh
2 4 4
Direct
0.000 0.000 0.000
0.500 0.500 0.000
0.115 0.385 0.000
0.385 0.885 0.000
0.615 0.115 0.000
0.885 0.615 0.000
0.178 0.678 0.500
0.322 0.178 0.500
0.678 0.822 0.500
0.822 0.322 0.500
```

Output
SG: P4/mbm, No. 127
Size of the total moment: 6.93 μB per formula unit
ΔE to the lowest computed polymorph: 0.155 eV per formula unit
Formation enthalpy at 0 K: 0.28 eV/f.u.

(2)
A plane-wave DFT calculation with GGA-PBE was carried out for an optimized crystal structure of LiFeAu.

The structure in POSCAR format:
```
LiFeAu
1.0
2.771 0.000 0.000
0.000 2.771 0.000
0.000 0.000 11.607
Li Fe Au
2 2 2
Direct
0.000 0.000 0.000
0.500 0.500 0.500
0.000 0.000 0.332
0.500 0.500 0.832
0.000 0.000 0.663
0.500 0.500 0.163
```

Output
SG: I4mm, No. 107
Size of the total moment: 2.86 μB per formula unit
Formation enthalpy at 0 K: 0.19 eV/f.u.

| no. | DOS at the Fermi energy (states/eV per cell) |
| --- | --- |
| 1 | 9.97 |
| 2 | 4.01 |